[1]
VASP calculation (PBE) on a geometry-optimized K2LiCr structure.

As for the total energy: -10.9 eV/cell. For the relative energy among the computed polymorphs, the calculation gives 0.123 eV/atom.

The structure in CIF format:
```
data_K2LiCr
_symmetry_space_group_name_H-M 'P 4/m m m'
_symmetry_Int_Tables_number 123
_symmetry_space_group_name_Hall '-P 4 2'
_cell_length_a 5.659
_cell_length_b 5.659
_cell_length_c 5.005
_cell_angle_alpha 90.00
_cell_angle_beta 90.00
_cell_angle_gamma 90.00
loop_
_atom_site_label
_atom_site_type_symbol
_atom_site_fract_x
_atom_site_fract_y
_atom_site_fract_z
_atom_site_occupancy
K1 K 0.000 0.500 0.000 1
Li1 Li 0.000 0.000 0.500 1
Cr1 Cr 0.500 0.500 0.500 1
```

***

[2]
VASP calculation (PBE) on a geometry-optimized KLi2Cr structure.

As for the total energy: -24.1 eV/cell. For the relative energy among the computed polymorphs, the calculation gives 0.082 eV/atom.

The structure in CIF format:
```
data_KLi2Cr
_symmetry_space_group_name_H-M 'I m m 2'
_symmetry_Int_Tables_number 44
_symmetry_space_group_name_Hall 'I 2 -2'
_cell_length_a 3.305
_cell_length_b 5.736
_cell_length_c 11.460
_cell_angle_alpha 90.00
_cell_angle_beta 90.00
_cell_angle_gamma 90.00
loop_
_atom_site_label
_atom_site_type_symbol
_atom_site_fract_x
_atom_site_fract_y
_atom_site_fract_z
_atom_site_occupancy
K1 K 0.000 0.000 0.000 1
Li1 Li 0.000 0.000 0.513 1
Li2 Li 0.000 0.500 0.779 1
Cr1 Cr 0.000 0.500 0.221 1
```

***

[3]
VASP calculation (PBE) on a geometry-optimized KLi2Cr structure.

As for the total energy: -11.9 eV/cell. For the relative energy among the computed polymorphs, the calculation gives 0.111 eV/atom.

The structure in CIF format:
```
data_KLi2Cr
_symmetry_space_group_name_H-M 'P 4/m m m'
_symmetry_Int_Tables_number 123
_symmetry_space_group_name_Hall '-P 4 2'
_cell_length_a 5.605
_cell_length_b 5.605
_cell_length_c 3.333
_cell_angle_alpha 90.00
_cell_angle_beta 90.00
_cell_angle_gamma 90.00
loop_
_atom_site_label
_atom_site_type_symbol
_atom_site_fract_x
_atom_site_fract_y
_atom_site_fract_z
_atom_site_occupancy
K1 K 0.000 0.000 0.000 1
Li1 Li 0.000 0.500 0.500 1
Cr1 Cr 0.500 0.500 0.000 1
```

***

| no. | total magnetization (μB/cell) | calculated volume (Å³ per atom) | ΔH_f (0 K) (eV per atom) |
| --- | --- | --- | --- |
| 1 | 5.30 | 40.06 | 0.715 |
| 2 | 9.76 | 27.15 | 0.621 |
| 3 | 4.76 | 26.18 | 0.650 |